CsSmFeS3 PBE optimized geometry; space group = No. 63; raw total energy = -5.70 eV/atom; spin magnetization = 4.0 μB/f.u.
1.0
2.027 -7.817 0.000
2.027 7.817 0.000
0.000 0.000 10.692
Cs Sm Fe S
2 2 2 6
Direct
0.240 0.760 0.750
0.760 0.240 0.250
0.500 0.500 0.000
0.500 0.500 0.500
0.031 0.969 0.250
0.969 0.031 0.750
0.113 0.887 0.072
0.113 0.887 0.428
0.448 0.552 0.250
0.552 0.448 0.750
0.887 0.113 0.572
0.887 0.113 0.928